# 1
Here is a geometry-optimized NaMgInO2 structure from Alexandria via LeMat-Bulk. Energies are from PBE.

Geometry as extended XYZ:
```
5
Lattice="-0.602 -2.772 3.239 5.232 -1.473 -0.288 1.023 3.082 2.827" Properties=species:S:1:pos:R:3 pbc="T T T"
In 0.000 0.000 0.000
Na 2.826 -0.582 2.889
O 0.512 1.541 1.414
O -0.301 -1.386 1.619
Mg 2.616 -0.736 -0.144
```

Results
- Raw formation energy: -0.25 eV per atom
- Magnetization: 0.00 μB/cell
- Raw total energy: -3.36 eV per atom

---

# 2
Here is a geometry-optimized Na3Mg3InS6O24 structure from Alexandria via LeMat-Bulk. Energies are from PBE.

Geometry as extended XYZ:
```
74
Lattice="9.005 -0.010 -0.005 4.705 7.641 -0.012 9.418 5.223 14.386" Properties=species:S:1:pos:R:3 pbc="T T T"
Na 13.755 7.791 10.941
Na 9.195 5.208 3.429
Na 16.616 7.850 8.953
Na 13.695 7.615 -0.008
Na 10.840 4.229 6.431
Na 9.596 10.182 7.005
O 14.548 4.882 7.636
O 10.796 6.983 2.954
O 7.747 3.304 4.228
O 12.799 6.020 6.450
O 16.398 5.198 9.973
O 10.063 6.403 5.604
O 7.168 2.886 6.547
O 10.256 6.858 7.998
O 13.119 6.451 8.829
O 18.244 9.157 10.532
O 12.342 5.901 11.458
O 15.962 9.930 7.824
O 10.096 4.686 0.291
O 13.993 4.988 12.912
O 8.516 7.921 6.750
O 8.332 3.765 1.587
O 13.035 8.145 14.130
O 15.412 9.585 10.149
O 17.648 8.789 13.541
O 6.744 7.655 4.318
O 6.338 1.633 2.166
O 13.304 10.568 13.954
O 20.226 10.199 11.537
O 14.749 7.283 7.269
O 9.464 6.173 10.828
O 11.658 2.677 2.840
O 8.444 5.500 7.124
O 10.839 10.281 9.139
O 11.745 5.375 13.757
O 6.852 5.649 3.004
O 9.807 2.261 0.378
O 6.079 7.712 1.973
O 9.387 2.342 5.692
O 16.976 5.118 12.367
O 11.146 4.205 9.261
O 11.354 7.452 0.631
O 13.799 10.655 8.715
O 11.610 4.640 4.192
O 13.684 6.584 3.542
O 14.782 9.041 12.787
O 16.309 7.199 11.267
O 16.810 11.235 12.182
O 12.132 8.673 5.040
O 9.122 7.882 1.522
O 12.224 2.555 5.221
O 11.473 8.221 10.261
O 4.765 3.594 3.698
O 5.491 4.089 0.826
S 10.590 7.927 1.840
S 7.927 2.377 5.373
S 13.801 6.162 7.540
S 15.231 10.530 9.006
S 9.083 3.576 0.340
S 12.354 3.366 3.968
S 9.321 6.665 6.868
S 10.680 9.466 10.362
S 6.081 6.890 3.248
S 17.051 5.908 11.090
S 12.538 4.939 12.555
S 14.040 9.258 14.046
Mg 11.219 6.220 9.720
Mg 15.639 8.674 6.026
Mg 7.379 4.069 8.246
Mg 16.638 9.242 11.857
Mg 12.004 6.709 4.653
Mg 6.493 3.632 2.589
In 2.739 1.490 1.079
In 20.342 11.331 13.323
```

Results
- Raw formation energy: -1.80 eV per atom
- Magnetization: 0.00 μB/cell
- Raw total energy: -6.00 eV per atom

---

# 3
Here is a geometry-optimized Na2MgInOs structure from Alexandria via LeMat-Bulk. Energies are from PBE.

Geometry as extended XYZ:
```
5
Lattice="-3.319 4.190 -0.548 -3.989 -3.194 -0.267 -0.560 0.254 5.337" Properties=species:S:1:pos:R:3 pbc="T T T"
Os -1.994 -1.597 -0.133
Mg -3.934 0.625 2.261
Na -0.280 0.127 2.669
Na -1.659 2.095 -0.274
In 0.000 0.000 0.000
```

Results
- E_form: 1.042 eV/atom
- Magnetization: 1.06 μB/cell
- Raw total energy: -2.60 eV per atom

---

# 4
Here is a geometry-optimized NaMg2In5Pb structure from Alexandria via LeMat-Bulk. Energies are from PBE.

Geometry as extended XYZ:
```
18
Lattice="-7.425 -5.422 -1.943 -0.114 -2.314 6.892 -4.455 5.469 1.763" Properties=species:S:1:pos:R:3 pbc="T T T"
In -5.997 -1.133 3.356
In -7.044 -4.279 4.623
In -2.735 -0.978 1.967
In -4.950 2.012 2.089
In -5.497 1.458 5.729
In -3.282 -1.532 5.607
In -6.496 -3.725 0.983
In -9.259 -1.289 4.745
In -8.711 -0.735 1.105
In -3.713 -2.711 -0.971
Pb 0.000 0.000 0.000
Pb -2.284 1.578 4.327
Mg -7.611 1.178 3.076
Mg -5.357 -1.021 0.598
Mg -6.636 -1.246 6.114
Mg -4.382 -3.445 3.636
Na -0.057 -1.157 3.446
Na -2.227 2.735 0.882
```

Results
- E_form: 0.050 eV/atom
- Magnetization: 0.00 μB/cell
- Raw total energy: -2.38 eV per atom

---

# 5
Here is a geometry-optimized NaMgInPb3 structure from Alexandria via LeMat-Bulk. Energies are from PBE.

Geometry as extended XYZ:
```
12
Lattice="-2.110 0.573 -2.814 5.982 -5.715 -5.648 -7.053 -5.857 4.095" Properties=species:S:1:pos:R:3 pbc="T T T"
Mg 2.288 -4.220 -3.703
Mg -5.470 -6.778 -0.664
Pb -0.647 -2.867 -3.483
Pb 3.211 -4.880 -6.786
Pb 0.024 -6.143 -2.397
Pb -2.534 -8.131 -0.884
Pb -3.206 -4.855 -1.970
Pb -6.392 -6.118 2.418
Na -1.430 -8.721 -4.088
Na -1.751 -2.277 -0.279
In 0.980 -6.855 -5.516
In -4.162 -4.143 1.148
```

Results
- E_form: -0.067 eV/atom
- Magnetization: 0.00 μB/cell
- Raw total energy: -2.86 eV per atom

---

# 6
Here is a geometry-optimized Na2MgIn2Pb4 structure from Alexandria via LeMat-Bulk. Energies are from PBE.

Geometry as extended XYZ:
```
9
Lattice="-2.623 -2.207 -1.139 7.012 -4.712 -1.287 -1.898 -2.051 8.344" Properties=species:S:1:pos:R:3 pbc="T T T"
Pb 4.194 -7.021 3.946
Pb -1.704 -1.949 1.972
Pb 1.630 -2.595 1.275
Pb 0.860 -6.375 4.643
In -1.302 -4.822 6.611
In 3.792 -4.148 -0.694
Na 0.575 -2.961 4.413
Na 1.916 -6.010 1.505
Mg 0.000 0.000 0.000
```

Results
- E_form: -0.080 eV/atom
- Magnetization: 0.00 μB/cell
- Raw total energy: -2.81 eV per atom

---

Repeat the sixth record exactly.
Here is a geometry-optimized Na2MgIn2Pb4 structure from Alexandria via LeMat-Bulk. Energies are from PBE.

Geometry as extended XYZ:
```
9
Lattice="-2.623 -2.207 -1.139 7.012 -4.712 -1.287 -1.898 -2.051 8.344" Properties=species:S:1:pos:R:3 pbc="T T T"
Pb 4.194 -7.021 3.946
Pb -1.704 -1.949 1.972
Pb 1.630 -2.595 1.275
Pb 0.860 -6.375 4.643
In -1.302 -4.822 6.611
In 3.792 -4.148 -0.694
Na 0.575 -2.961 4.413
Na 1.916 -6.010 1.505
Mg 0.000 0.000 0.000
```

Results
- E_form: -0.080 eV/atom
- Magnetization: 0.00 μB/cell
- Raw total energy: -2.81 eV per atom